This record from the Alexandria database describes Pr2ZnGaPd6 after structural relaxation. The functional is PBE.

Summary:
**Energy of formation from the pure elements**: -0.574 eV per atom

Cell: 5.733 8.231 8.231 Å, 40.76 69.63 90.02°
Fractional coordinates of all 10 atoms:
1 Pd 0.750 0.746 0.499
2 Pd 0.250 0.751 0.005
3 Pd 0.253 0.249 0.996
4 Pd 0.750 0.249 0.995
5 Ga 0.000 0.000 0.000
6 Pd 0.250 0.254 0.501
7 Zn 0.500 0.500 0.000
8 Pr 0.210 0.789 0.579
9 Pd 0.747 0.751 0.004
10 Pr 0.790 0.211 0.421

=====

This record from the Alexandria database describes PrZnGa2Pd5 after structural relaxation. The functional is PBE.

Summary:
**Energy of formation from the pure elements**: -0.438 eV per atom

Cell: 4.766 4.766 7.281 Å, 90.00 90.00 90.00°
Fractional coordinates of all 9 atoms:
1 Ga 0.500 0.500 0.165
2 Pd 0.000 0.500 0.215
3 Pd 0.500 0.500 0.500
4 Zn 0.000 0.000 0.000
5 Pd 0.500 0.000 0.785
6 Pd 0.000 0.500 0.785
7 Ga 0.500 0.500 0.835
8 Pd 0.500 0.000 0.215
9 Pr 0.000 0.000 0.500

=====

This record from the Alexandria database describes PrZnGa2Pd after structural relaxation. The functional is PBE.

Summary:
**Energy of formation from the pure elements**: -0.635 eV per atom

Cell: 4.321 4.321 6.059 Å, 110.89 110.89 90.00°
Fractional coordinates of all 5 atoms:
1 Pr 0.000 0.000 0.000
2 Ga 0.380 0.380 0.761
3 Ga 0.620 0.620 0.239
4 Zn 0.250 0.750 0.500
5 Pd 0.750 0.250 0.500

=====

This record from the Alexandria database describes PrZnGaPd2 after structural relaxation. The functional is PBE.

Summary:
**Energy of formation from the pure elements**: -0.529 eV per atom

Cell: 5.772 5.385 7.050 Å, 112.45 90.00 90.00°
Fractional coordinates of all 10 atoms:
1 Pd 0.294 0.357 0.713
2 Zn 0.000 0.000 0.000
3 Pr 0.771 0.250 0.500
4 Pd 0.706 0.643 0.287
5 Ga 0.500 0.250 0.000
6 Zn 0.000 0.500 0.000
7 Pr 0.229 0.750 0.500
8 Ga 0.500 0.750 0.000
9 Pd 0.706 0.857 0.713
10 Pd 0.294 0.143 0.287

=====

This record from the Alexandria database describes PrZnGa3Pd after structural relaxation. The functional is PBE.

Summary:
**Energy of formation from the pure elements**: -0.301 eV per atom

Cell: 6.319 6.318 6.892 Å, 117.28 90.00 90.00°
Fractional coordinates of all 12 atoms:
1 Pr 0.750 0.294 0.589
2 Zn 0.750 0.062 0.123
3 Ga 0.250 0.152 0.304
4 Ga 0.000 0.293 0.000
5 Zn 0.250 0.938 0.877
6 Ga 0.500 0.707 0.000
7 Pr 0.250 0.706 0.411
8 Pd 0.250 0.359 0.718
9 Ga 0.000 0.707 0.000
10 Pd 0.750 0.641 0.282
11 Ga 0.500 0.293 0.000
12 Ga 0.750 0.848 0.696

=====

This record from the Alexandria database describes PrZnGaPd after structural relaxation. The functional is PBE.

Summary:
**Energy of formation from the pure elements**: -0.506 eV per atom

Cell: 4.823 4.823 4.823 Å, 60.00 60.00 60.00°
Fractional coordinates of all 4 atoms:
1 Pr 0.750 0.750 0.750
2 Ga 0.250 0.250 0.250
3 Zn 0.500 0.500 0.500
4 Pd 0.000 0.000 0.000

=====

This record from the Alexandria database describes Pr3ZnGa2Pd6 after structural relaxation. The functional is PBE.

Summary:
**Energy of formation from the pure elements**: -0.660 eV per atom

Cell: 5.739 5.739 8.714 Å, 90.00 90.00 120.00°
Fractional coordinates of all 12 atoms:
1 Zn 0.000 0.000 0.500
2 Pd 0.654 0.827 0.277
3 Pd 0.173 0.346 0.277
4 Ga 0.333 0.667 0.025
5 Pr 0.333 0.667 0.619
6 Ga 0.667 0.333 0.975
7 Pd 0.827 0.654 0.723
8 Pd 0.827 0.173 0.723
9 Pr 0.667 0.333 0.381
10 Pd 0.173 0.827 0.277
11 Pr 0.000 0.000 0.000
12 Pd 0.346 0.173 0.723

=====

This record from the Alexandria database describes PrZnGaPd3 after structural relaxation. The functional is PBE.

Summary:
**Energy of formation from the pure elements**: -0.543 eV per atom

Cell: 5.771 6.700 6.954 Å, 118.80 90.00 90.00°
Fractional coordinates of all 12 atoms:
1 Zn 0.250 0.953 0.907
2 Pr 0.750 0.293 0.585
3 Ga 0.750 0.630 0.260
4 Zn 0.750 0.047 0.093
5 Pd 0.500 0.292 0.000
6 Pd 0.000 0.292 0.000
7 Pd 0.500 0.708 0.000
8 Pr 0.250 0.707 0.415
9 Pd 0.750 0.834 0.667
10 Pd 0.250 0.166 0.333
11 Ga 0.250 0.370 0.740
12 Pd 0.000 0.708 0.000